KGa2AgPt | Alexandria | GGA-PBE | relaxed; mass density = 6.3 g cm⁻³; energy of formation = -1.347 eV per formula unit; SG = P4/mmm; raw total energy = -3.478 eV per atom; N(E_F) = 0.2762 states/eV per atom
1.0
-1.108 1.335 4.493
-4.659 0.192 -1.206
-0.583 -5.249 1.416
K Ga Ag Pt
1 2 1 1
direct
0.500 0.500 0.500
0.000 0.500 0.000
0.500 0.000 0.000
0.000 0.000 0.500
0.000 0.000 0.000